Computed, not measured: crystalline ScW at its relaxed geometry at the PBE-GGA level of DFT.

Output
- Energy above the lowest structure with this stoichiometry: 1439 meV per atom
- Energy relative to the elements: 1531 meV per atom

Unit cell a=3.8846 b=3.8846 c=3.8846 alpha=60.00 beta=60.00 gamma=60.00
Sites, in units of the cell vectors:
Sc 0.0000 0.0000 0.0000
W 0.5000 0.5000 0.5000



Computed, not measured: crystalline ScW at its relaxed geometry at the PBE-GGA level of DFT.

Output
- Energy above the lowest structure with this stoichiometry: 111 meV per atom
- Energy relative to the elements: 203 meV per atom

Unit cell a=2.8897 b=2.8897 c=9.7238 alpha=90.00 beta=90.00 gamma=110.15
Sites, in units of the cell vectors:
Sc 0.0000 0.0000 0.0270
Sc 0.5000 0.5000 0.7230
W 0.5000 0.5000 0.2679
W 0.0000 0.0000 0.4821



Computed, not measured: crystalline ScW at its relaxed geometry at the PBE-GGA level of DFT.

Output
- Energy above the lowest structure with this stoichiometry: 203 meV per atom
- Energy relative to the elements: 295 meV per atom

Unit cell a=2.8282 b=2.8282 c=4.7646 alpha=90.00 beta=90.00 gamma=107.27
Sites, in units of the cell vectors:
W 0.5000 0.5000 0.5000
Sc 0.0000 0.0000 0.0000



Computed, not measured: crystalline ScW3 at its relaxed geometry at the PBE-GGA level of DFT.

Output
- Energy relative to the elements: 449 meV per atom

Unit cell a=4.8912 b=9.9835 c=5.8084 alpha=90.00 beta=90.00 gamma=90.00
Sites, in units of the cell vectors:
W 0.0053 0.7500 0.1415
W 0.5053 0.7500 0.3585
W 0.2219 0.0127 0.8682
W 0.2781 0.9873 0.3682
W 0.7781 0.5127 0.1318
W 0.4947 0.2500 0.6415
W 0.7219 0.0127 0.6318
W 0.9947 0.2500 0.8585
W 0.7781 0.9873 0.1318
W 0.2219 0.4873 0.8682
W 0.2781 0.5127 0.3682
W 0.7219 0.4873 0.6318
Sc 0.4947 0.7500 0.8709
Sc 0.5053 0.2500 0.1291
Sc 0.0053 0.2500 0.3709
Sc 0.9947 0.7500 0.6291



Computed, not measured: crystalline ScW3 at its relaxed geometry at the PBE-GGA level of DFT.

Output
- Energy relative to the elements: 382 meV per atom

Unit cell a=2.6987 b=2.6987 c=9.5089 alpha=90.00 beta=90.00 gamma=90.00
Sites, in units of the cell vectors:
W 0.5000 0.5000 0.7436
W 0.0000 0.0000 0.5000
W 0.5000 0.5000 0.2564
Sc 0.0000 0.0000 0.0000



Computed, not measured: crystalline Sc3W at its relaxed geometry at the PBE-GGA level of DFT.

Output
- Energy above the lowest structure with this stoichiometry: 83 meV per atom
- Energy relative to the elements: 257 meV per atom

Unit cell a=3.5579 b=3.5579 c=6.6837 alpha=90.00 beta=90.00 gamma=90.00
Sites, in units of the cell vectors:
Sc 0.0000 0.0000 0.5378
Sc 0.0000 0.0000 0.9622
Sc 0.5000 0.5000 0.2500
W 0.5000 0.5000 0.7500



| no. | mass density (kg/m3) | VASP energy (eV per atom) | size of the total moment (μB/cell) |
| --- | --- | --- | --- |
| 1 | 9166 | -8.111 | 0.0 |
| 2 | 9968 | -9.439 | 0.0 |
| 3 | 10440 | -9.347 | 0.0 |
| 4 | 13969 | -10.849 | 0.0 |
| 5 | 14302 | -10.916 | 0.0 |
| 6 | 6255 | -7.730 | 0.0 |